[1]
## MnRu2I (PBE)

Data for an optimized crystal structure of MnRu2I.

Space group: I-42d, No. 122
ρ in g cm⁻³: 7.4
V in Å³/atom: 21.5
ΔE to the lowest computed polymorph in kJ per mole of atoms: 27.0

a = 6.7631 Å, b = 6.7631 Å, c = 6.7631 Å
α = 131.05°, β = 131.05°, γ = 71.73°
Last column: nearest neighbours and their distance in Å.
Sites, in units of the cell vectors:
Mn1 0.0000 0.0000 0.0000  4 Ru 2.23
Mn2 0.7500 0.2500 0.5000  4 Ru 2.23
Ru1 0.0665 0.6250 0.9415  2 Mn 2.23
Ru2 0.3750 0.3165 0.4415  2 Mn 2.23
Ru3 0.6835 0.1250 0.0585  2 Mn 2.23
Ru4 0.8750 0.9335 0.5585  2 Mn 2.23
I1 0.2500 0.7500 0.5000  4 Ru 2.61
I2 0.5000 0.5000 0.0000  4 Ru 2.61


[2]
## MnRuI6 (PBE)

Data for an optimized crystal structure of MnRuI6.

Energy in eV per atom: -3.58
Space group: C2/m, No. 12
ρ in g cm⁻³: 5.1
V in Å³/atom: 37.5

a = 7.4926 Å, b = 7.4926 Å, c = 7.0077 Å
α = 100.42°, β = 100.42°, γ = 124.17°
Last column: nearest neighbours and their distance in Å.
Sites, in units of the cell vectors:
Mn1 0.0000 0.0000 0.0000  4 I 2.70
Ru1 0.5000 0.5000 0.5000  6 I 2.69-2.71
I1 0.1061 0.3911 0.2490  1 Mn 2.70, 1 Ru 2.71
I2 0.2708 0.2708 0.7311  1 Ru 2.69
I3 0.3911 0.1061 0.2490  1 Mn 2.70, 1 Ru 2.71
I4 0.6089 0.8939 0.7510  1 Mn 2.70, 1 Ru 2.71
I5 0.7292 0.7292 0.2689  1 Ru 2.69
I6 0.8939 0.6089 0.7510  1 Mn 2.70, 1 Ru 2.71


[3]
## Mn2RuI (PBE)

Data for an optimized crystal structure of Mn2RuI.

Space group: I-42d, No. 122
ρ in g cm⁻³: 6.3
V in Å³/atom: 22.1
ΔE to the lowest computed polymorph in kJ per mole of atoms: 9.3

a = 6.1855 Å, b = 6.1855 Å, c = 6.1855 Å
α = 115.38°, β = 115.38°, γ = 98.21°
Last column: nearest neighbours and their distance in Å.
Sites, in units of the cell vectors:
Mn1 0.0800 0.1250 0.4550  2 Ru 2.37
Mn2 0.3750 0.9200 0.0450  2 Ru 2.37
Mn3 0.6700 0.6250 0.5450  2 Ru 2.37
Mn4 0.8750 0.3300 0.9550  2 Ru 2.37
Ru1 0.0000 0.0000 0.0000  4 Mn 2.37
Ru2 0.7500 0.2500 0.5000  4 Mn 2.37
I1 0.2500 0.7500 0.5000  4 Mn 2.75
I2 0.5000 0.5000 0.0000  4 Mn 2.75


[4]
## MnRu2I (PBE)

Data for an optimized crystal structure of MnRu2I.

Space group: Fm-3m, No. 225
ρ in g cm⁻³: 9.9
V in Å³/atom: 16.1
ΔE to the lowest computed polymorph in kJ per mole of atoms: 0.0

a = 4.4984 Å, b = 4.4984 Å, c = 4.4984 Å
α = 60.00°, β = 60.00°, γ = 60.00°
Last column: nearest neighbours and their distance in Å.
Sites, in units of the cell vectors:
Mn1 0.0000 0.0000 0.0000  8 Ru 2.75
Ru1 0.2500 0.2500 0.2500  4 I 2.75, 4 Mn 2.75
Ru2 0.7500 0.7500 0.7500  4 I 2.75, 4 Mn 2.75
I1 0.5000 0.5000 0.5000  8 Ru 2.75


[5]
## Mn2RuI (PBE)

Data for an optimized crystal structure of Mn2RuI.

Space group: Fm-3m, No. 225
ρ in g cm⁻³: 8.4
V in Å³/atom: 16.7
ΔE to the lowest computed polymorph in kJ per mole of atoms: 0.0

a = 4.5577 Å, b = 4.5577 Å, c = 4.5577 Å
α = 60.00°, β = 60.00°, γ = 60.00°
Last column: nearest neighbours and their distance in Å.
Sites, in units of the cell vectors:
Mn1 0.2500 0.2500 0.2500  4 Ru 2.79, 4 I 2.79
Mn2 0.7500 0.7500 0.7500  4 Ru 2.79, 4 I 2.79
Ru1 0.0000 0.0000 0.0000  8 Mn 2.79
I1 0.5000 0.5000 0.5000  8 Mn 2.79


[6]
## Mn2Ru2I (PBE)

Data for an optimized crystal structure of Mn2Ru2I.

Energy in eV per atom: -6.49
Space group: P4/mmm, No. 123
ρ in g cm⁻³: 7.9
V in Å³/atom: 18.5

a = 4.5031 Å, b = 4.5031 Å, c = 4.5627 Å
α = 90.00°, β = 90.00°, γ = 90.00°
Last column: nearest neighbours and their distance in Å.
Sites, in units of the cell vectors:
Mn1 0.0000 0.0000 0.0000  4 Ru 2.25, 2 Mn 2.28
Mn2 0.0000 0.0000 0.5000  2 Mn 2.28
Ru1 0.0000 0.5000 0.0000  2 Mn 2.25
Ru2 0.5000 0.0000 0.0000  2 Mn 2.25
I1 0.5000 0.5000 0.5000  4 Mn 3.18, 8 Ru 3.21


[7]
## MnRu3I (PBE)

Data for an optimized crystal structure of MnRu3I.

Space group: Pm-3m, No. 221
ρ in g cm⁻³: 8.8
V in Å³/atom: 18.2
ΔE to the lowest computed polymorph in kJ per mole of atoms: 0.0

a = 4.4993 Å, b = 4.4993 Å, c = 4.4993 Å
α = 90.00°, β = 90.00°, γ = 90.00°
Last column: nearest neighbours and their distance in Å.
Sites, in units of the cell vectors:
Mn1 0.0000 0.0000 0.0000  6 Ru 2.25
Ru1 0.0000 0.0000 0.5000  2 Mn 2.25
Ru2 0.0000 0.5000 0.0000  2 Mn 2.25
Ru3 0.5000 0.0000 0.0000  2 Mn 2.25
I1 0.5000 0.5000 0.5000  12 Ru 3.18


[8]
## MnSb2RuI (PBE)

Data for an optimized crystal structure of MnSb2RuI.

Space group: P4/mmm, No. 123
ρ in g cm⁻³: 6.5
V in Å³/atom: 26.7
ΔE to the lowest computed polymorph in kJ per mole of atoms: 0.0

a = 5.0044 Å, b = 5.0044 Å, c = 5.3308 Å
α = 90.00°, β = 90.00°, γ = 90.00°
Last column: nearest neighbours and their distance in Å.
Sites, in units of the cell vectors:
Mn1 0.0000 0.0000 0.0000  4 Sb 2.50, 2 I 2.67
Sb1 0.0000 0.5000 0.0000  2 Mn 2.50
Sb2 0.5000 0.0000 0.0000  2 Mn 2.50
Ru1 0.5000 0.5000 0.5000  4 I 3.54, 8 Sb 3.66
I1 0.0000 0.0000 0.5000  2 Mn 2.67


[9]
## MnTe2RuI (PBE)

Data for an optimized crystal structure of MnTe2RuI.

Space group: P4/mmm, No. 123
ρ in g cm⁻³: 7.2
V in Å³/atom: 24.9
ΔE to the lowest computed polymorph in kJ per mole of atoms: 0.0

a = 4.8443 Å, b = 4.8443 Å, c = 5.3037 Å
α = 90.00°, β = 90.00°, γ = 90.00°
Last column: nearest neighbours and their distance in Å.
Sites, in units of the cell vectors:
Mn1 0.0000 0.0000 0.0000  4 Te 2.42, 2 I 2.65
Te1 0.0000 0.5000 0.0000  2 Mn 2.42
Te2 0.5000 0.0000 0.0000  2 Mn 2.42
Ru1 0.5000 0.5000 0.5000  4 I 3.43, 8 Te 3.59
I1 0.0000 0.0000 0.5000  2 Mn 2.65


[10]
## MnRu2WI (PBE)

Data for an optimized crystal structure of MnRu2WI.

Energy in eV per atom: -6.71
Space group: P4/mmm, No. 123
ρ in g cm⁻³: 8.9
V in Å³/atom: 21.1

a = 4.7951 Å, b = 4.7951 Å, c = 4.5850 Å
α = 90.00°, β = 90.00°, γ = 90.00°
Last column: nearest neighbours and their distance in Å.
Sites, in units of the cell vectors:
Mn1 0.0000 0.0000 0.0000  2 W 2.29
Ru1 0.0000 0.5000 0.5000  2 W 2.40
Ru2 0.5000 0.0000 0.5000  2 W 2.40
W1 0.0000 0.0000 0.5000  2 Mn 2.29, 4 Ru 2.40
I1 0.5000 0.5000 0.0000  8 Ru 3.32, 4 Mn 3.39


[11]
## Mn2RuWI (PBE)

Data for an optimized crystal structure of Mn2RuWI.

Energy in eV per atom: -7.14
Space group: P4/mmm, No. 123
ρ in g cm⁻³: 7.4
V in Å³/atom: 23.3

a = 4.9751 Å, b = 4.9751 Å, c = 4.6995 Å
α = 90.00°, β = 90.00°, γ = 90.00°
Last column: nearest neighbours and their distance in Å.
Sites, in units of the cell vectors:
Mn1 0.0000 0.5000 0.0000  2 Ru 2.49
Mn2 0.5000 0.0000 0.0000  2 Ru 2.49
Ru1 0.0000 0.0000 0.0000  2 W 2.35, 4 Mn 2.49
W1 0.0000 0.0000 0.5000  2 Ru 2.35
I1 0.5000 0.5000 0.5000  8 Mn 3.42, 4 W 3.52


[12]
## MnS4I2 (PBE)

Data for an optimized crystal structure of MnS4I2.

Energy in eV per atom: -3.78
Space group: I4/mmm, No. 139
ρ in g cm⁻³: 4.2
V in Å³/atom: 25.0

a = 8.7759 Å, b = 8.7759 Å, c = 8.7759 Å
α = 149.39°, β = 149.39°, γ = 43.83°
Last column: nearest neighbours and their distance in Å.
Sites, in units of the cell vectors:
Mn1 0.0000 0.0000 0.0000  4 S 2.32
S1 0.0000 0.5000 0.5000  2 Mn 2.32
S2 0.1854 0.1854 0.0000  1 I 2.30
S3 0.5000 0.0000 0.5000  2 Mn 2.32
S4 0.8146 0.8146 0.0000  1 I 2.30
I1 0.3266 0.3266 0.0000  1 S 2.30
I2 0.6734 0.6734 0.0000  1 S 2.30


| no. | D(E_F) (states/eV per atom) | M_tot (μB/f.u.) |
| --- | --- | --- |
| 1 | 0.564 | 0.00 |
| 2 | 0.834 | 5.29 |
| 3 | 1.101 | 6.22 |
| 4 | 0.963 | 5.28 |
| 5 | 1.273 | 7.90 |
| 6 | 1.262 | 3.74 |
| 7 | 1.373 | 0.00 |
| 8 | 1.395 | 4.75 |
| 9 | 1.212 | 0.00 |
| 10 | 1.337 | 1.54 |
| 11 | 0.618 | 7.38 |
| 12 | 0.494 | 4.15 |